Entry from the Alexandria database: a geometry-optimized BiBRhO5 structure (GGA-PBE).

Summary:
* uncorrected formation energy: -1.33 eV per atom
* D(E_F): 3.1 states/eV/f.u.
* crystal system: monoclinic

a = 6.419 Å, b = 8.718 Å, c = 6.882 Å
α = 90.00°, β = 112.72°, γ = 90.00°
Space group C2/c (No. 15)
Inequivalent atoms, fractional coordinates:
Bi 0.000 0.149 0.250 [4 per cell]
B 0.000 0.190 0.750 [4 per cell]
Rh 0.000 0.500 0.000 [4 per cell]
O 0.000 0.413 0.250 [4 per cell]
O 0.105 0.282 0.630 [8 per cell]
O 0.166 0.082 0.914 [8 per cell]



Entry from the Alexandria database: a geometry-optimized Bi2BRuO structure (GGA-PBE).

Summary:
* uncorrected formation energy: 0.61 eV per atom
* D(E_F): 2.6 states/eV/f.u.
* crystal system: tetragonal

a = 5.182 Å, b = 5.182 Å, c = 3.958 Å
α = 90.00°, β = 90.00°, γ = 90.00°
Space group P4/mmm (No. 123)
Inequivalent atoms, fractional coordinates:
Bi 0.000 0.500 0.000 [2 per cell]
B 0.000 0.000 0.500 [1 per cell]
Ru 0.000 0.000 0.000 [1 per cell]
O 0.500 0.500 0.500 [1 per cell]



Entry from the Alexandria database: a geometry-optimized Bi2BSO structure (GGA-PBE).

Summary:
* uncorrected formation energy: 0.83 eV per atom
* D(E_F): 2.8 states/eV/f.u.
* crystal system: tetragonal

a = 4.919 Å, b = 4.919 Å, c = 4.122 Å
α = 90.00°, β = 90.00°, γ = 90.00°
Space group P4/mmm (No. 123)
Inequivalent atoms, fractional coordinates:
Bi 0.000 0.500 0.000 [2 per cell]
B 0.000 0.000 0.500 [1 per cell]
S 0.500 0.500 0.500 [1 per cell]
O 0.500 0.500 0.000 [1 per cell]



Entry from the Alexandria database: a geometry-optimized ScBi2BO6 structure (GGA-PBE).

Summary:
* uncorrected formation energy: -1.82 eV per atom
* D(E_F): 0.0 states/eV/f.u.
* crystal system: monoclinic

a = 6.058 Å, b = 6.216 Å, c = 9.648 Å
α = 90.00°, β = 118.03°, γ = 90.00°
Space group P2_1/c (No. 14)
Inequivalent atoms, fractional coordinates:
Sc 0.000 0.000 0.000 [2 per cell]
Bi 0.286 0.093 0.800 [4 per cell]
B 0.500 0.000 0.500 [2 per cell]
O 0.034 0.108 0.211 [4 per cell]
O 0.331 0.124 0.038 [4 per cell]
O 0.405 0.608 0.072 [4 per cell]



Entry from the Alexandria database: a geometry-optimized Sc3BiB4O12 structure (GGA-PBE).

Summary:
* uncorrected formation energy: -2.74 eV per atom
* D(E_F): 0.0 states/eV/f.u.
* crystal system: trigonal

a = 9.8849 Å, b = 9.8849 Å, c = 7.9979 Å
α = 90.00°, β = 90.00°, γ = 120.00°
Space group R32 (No. 155, hexagonal axes)
Inequivalent atoms, fractional coordinates:
Sc 0.0000 0.5476 0.0000 [9 per cell]
Bi 0.0000 0.0000 0.0000 [3 per cell]
B 0.0000 0.0000 0.5000 [3 per cell]
B 0.0000 0.4530 0.5000 [9 per cell]
O 0.0000 0.5926 0.5000 [9 per cell]
O 0.0000 0.8597 0.5000 [9 per cell]
O 0.0186 0.2104 0.1790 [18 per cell]



Entry from the Alexandria database: a geometry-optimized SnBi2BO structure (GGA-PBE).

Summary:
* uncorrected formation energy: 1.42 eV per atom
* D(E_F): 4.1 states/eV/f.u.
* crystal system: tetragonal

a = 5.905 Å, b = 5.905 Å, c = 4.076 Å
α = 90.00°, β = 90.00°, γ = 90.00°
Space group P4/mmm (No. 123)
Inequivalent atoms, fractional coordinates:
Sn 0.000 0.000 0.000 [1 per cell]
Bi 0.000 0.500 0.000 [2 per cell]
B 0.000 0.000 0.500 [1 per cell]
O 0.500 0.500 0.500 [1 per cell]



Entry from the Alexandria database: a geometry-optimized TiBiBO5 structure (GGA-PBE).

Summary:
* uncorrected formation energy: -2.22 eV per atom
* D(E_F): 0.0 states/eV/f.u.
* crystal system: monoclinic

a = 6.436 Å, b = 8.609 Å, c = 6.967 Å
α = 90.00°, β = 113.11°, γ = 90.00°
Space group C2/c (No. 15)
Inequivalent atoms, fractional coordinates:
Ti 0.000 0.000 0.000 [4 per cell]
Bi 0.000 0.339 0.250 [4 per cell]
B 0.000 0.319 0.750 [4 per cell]
O 0.000 0.073 0.250 [4 per cell]
O 0.093 0.219 0.623 [8 per cell]
O 0.177 0.425 0.902 [8 per cell]



Entry from the Alexandria database: a geometry-optimized TlBiBO2 structure (GGA-PBE).

Summary:
* uncorrected formation energy: 0.69 eV per atom
* D(E_F): 3.1 states/eV/f.u.
* crystal system: tetragonal

a = 4.229 Å, b = 4.229 Å, c = 6.489 Å
α = 90.00°, β = 90.00°, γ = 90.00°
Space group P4/mmm (No. 123)
Inequivalent atoms, fractional coordinates:
Tl 0.000 0.000 0.000 [1 per cell]
Bi 0.000 0.000 0.500 [1 per cell]
B 0.500 0.500 0.000 [1 per cell]
O 0.000 0.500 0.500 [2 per cell]